No. 1
The following is a GGA-PBEsol calculation of a relaxed structure of Sr2ScCdRe, from the Alexandria database.

a b c (Å): 6.0224 6.0224 4.5183
angles (deg): 90.00 90.00 90.00
Fractional positions:
Sr (0.0000, 0.5000, 0.0000)
Sr (0.5000, 0.0000, 0.0000)
Sc (0.0000, 0.0000, 0.0000)
Cd (0.5000, 0.5000, 0.5000)
Re (0.0000, 0.0000, 0.5000)

The density of states at the Fermi level is 1.313 states/eV/atom. The value obtained for the electronic total energy is -19.5 eV/f.u.

=====

No. 2
The following is a GGA-PBEsol calculation of a relaxed structure of BaZnSe2O6, from the Alexandria database.

a b c (Å): 5.8164 13.0880 8.4953
angles (deg): 90.00 93.45 90.00
Fractional positions:
Ba (0.2148, 0.1993, 0.2049)
Ba (0.2148, 0.3007, 0.7049)
Ba (0.7852, 0.6993, 0.2951)
Ba (0.7852, 0.8007, 0.7951)
Zn (0.3477, 0.6403, 0.5769)
Zn (0.3477, 0.8597, 0.0769)
Zn (0.6523, 0.1403, 0.9231)
Zn (0.6523, 0.3597, 0.4231)
Se (0.2433, 0.6292, 0.9471)
Se (0.2433, 0.8708, 0.4471)
Se (0.2549, 0.0091, 0.7790)
Se (0.2549, 0.4909, 0.2790)
Se (0.7451, 0.5091, 0.7210)
Se (0.7451, 0.9909, 0.2210)
Se (0.7567, 0.1292, 0.5529)
Se (0.7567, 0.3708, 0.0529)
O (0.0028, 0.6723, 0.0292)
O (0.0028, 0.8277, 0.5292)
O (0.1517, 0.5787, 0.4104)
O (0.1517, 0.9213, 0.9104)
O (0.1679, 0.6678, 0.7558)
O (0.1679, 0.8322, 0.2558)
O (0.3149, 0.1196, 0.8889)
O (0.3149, 0.3804, 0.3889)
O (0.4517, 0.7200, 0.0020)
O (0.4517, 0.7800, 0.5020)
O (0.4705, 0.0287, 0.2406)
O (0.4705, 0.4713, 0.7406)
O (0.5295, 0.5287, 0.2594)
O (0.5295, 0.9713, 0.7594)
O (0.5483, 0.2200, 0.4980)
O (0.5483, 0.2800, 0.9980)
O (0.6851, 0.6196, 0.6111)
O (0.6851, 0.8804, 0.1111)
O (0.8321, 0.1678, 0.7442)
O (0.8321, 0.3322, 0.2442)
O (0.8483, 0.0787, 0.0896)
O (0.8483, 0.4213, 0.5896)
O (0.9972, 0.1723, 0.4708)
O (0.9972, 0.3277, 0.9708)

The density of states at the Fermi level is 0.000 states/eV/atom. The value obtained for the electronic total energy is -57.8 eV/f.u.

=====

Q: Which formula does entry 1 have?
A: Sr2ScCdRe